Entry 1:
Na5TbHg6: relaxed, PBE.

Cell: 5.293 7.423 8.315 Å, 90.00 71.44 90.00°
Positions (direct):
Hg 0.160 0.745 0.680
Na 0.000 0.500 0.000
Hg 0.500 0.769 0.000
Na 0.666 0.500 0.667
Hg 0.500 0.231 0.000
Tb 0.000 0.000 0.000
Hg 0.840 0.745 0.320
Hg 0.160 0.255 0.680
Na 0.334 0.500 0.333
Na 0.326 0.000 0.348
Na 0.674 0.000 0.652
Hg 0.840 0.255 0.320

## Properties
Its raw total energy is -1.35 eV/atom. For the volume, the calculation gives 309.68 Å³/cell. The value obtained for the density of states at the Fermi level is 6.23 states/eV per cell. The value obtained for the total magnetization is 0.00 μB per cell. The value obtained for the energy of formation from the pure elements is -0.26 eV/atom.

***

Entry 2:
NaTb6Hg5: relaxed, PBE.

Cell: 5.286 9.231 9.231 Å, 120.38 106.64 106.64°
Positions (direct):
Tb 0.764 0.264 0.264
Tb 0.746 0.575 0.918
Hg 0.000 0.668 0.332
Hg 0.000 0.332 0.668
Tb 0.254 0.082 0.425
Tb 0.254 0.425 0.082
Hg 0.500 0.849 0.151
Na 0.000 0.000 0.000
Tb 0.236 0.736 0.736
Tb 0.746 0.918 0.575
Hg 0.500 0.500 0.500
Hg 0.500 0.151 0.849

## Properties
Its raw total energy is -2.90 eV/atom. For the volume, the calculation gives 317.68 Å³/cell. The value obtained for the density of states at the Fermi level is 13.54 states/eV per cell. The value obtained for the total magnetization is 0.01 μB per cell. The value obtained for the energy of formation from the pure elements is -0.35 eV/atom.

***

Entry 3:
NaTb4Hg5: relaxed, PBE.

Cell: 3.721 3.721 18.864 Å, 90.00 90.00 90.00°
Positions (direct):
Hg 0.500 0.500 0.893
Na 0.000 0.000 0.000
Hg 0.500 0.500 0.302
Tb 0.000 0.000 0.400
Hg 0.500 0.500 0.107
Hg 0.500 0.500 0.500
Tb 0.000 0.000 0.600
Hg 0.500 0.500 0.698
Tb 0.000 0.000 0.799
Tb 0.000 0.000 0.201

## Properties
Its raw total energy is -2.56 eV/atom. For the volume, the calculation gives 261.14 Å³/cell. The value obtained for the density of states at the Fermi level is 8.39 states/eV per cell. The value obtained for the total magnetization is 0.00 μB per cell. The value obtained for the energy of formation from the pure elements is -0.43 eV/atom.

***

Entry 4:
NaTb2Hg8: relaxed, PBE.

Cell: 4.941 7.240 8.416 Å, 108.82 107.07 90.00°
Positions (direct):
Hg 0.335 0.103 0.669
Hg 0.665 0.897 0.331
Hg 0.152 0.189 0.303
Tb 0.786 0.337 0.572
Na 0.500 0.000 0.000
Hg 0.397 0.557 0.795
Hg 0.973 0.271 0.945
Hg 0.848 0.811 0.697
Hg 0.027 0.729 0.055
Hg 0.603 0.443 0.205
Tb 0.214 0.663 0.428

## Properties
Its raw total energy is -1.45 eV/atom. For the volume, the calculation gives 270.90 Å³/cell. The value obtained for the density of states at the Fermi level is 4.94 states/eV per cell. The value obtained for the total magnetization is 0.00 μB per cell. The value obtained for the energy of formation from the pure elements is -0.26 eV/atom.

***

Question: Look up the energy of formation from the pure elements of the first one.
Answer: -0.26 eV/atom